Record 1
DFT (PBE-GGA) results for crystalline Zr3AgHg2 at its relaxed geometry.

Structure (POSCAR):
```
Zr3AgHg2
1.0
3.176 0.000 0.000
0.000 3.176 0.000
0.000 0.000 12.570
Zr Ag Hg
3 1 2
Direct
0.000 0.000 0.000 Zr
0.000 0.000 0.338 Zr
0.000 0.000 0.662 Zr
0.500 0.500 0.500 Ag
0.500 0.500 0.169 Hg
0.500 0.500 0.831 Hg
```

Results
Total DFT energy (no corrections) ... -4.960 eV per atom
D(E_F) ... 7.2 states/eV/cell

=====

Record 2
DFT (PBE-GGA) results for crystalline Pr6Ge2P3Se at its relaxed geometry.

Structure (POSCAR):
```
Pr6Ge2P3Se
1.0
9.301 -2.103 0.000
9.301 2.103 0.000
-2.045 0.000 8.355
Pr Ge P Se
6 2 3 1
Direct
0.001 0.001 0.241 Pr
0.331 0.331 0.423 Pr
0.336 0.336 0.909 Pr
0.664 0.664 0.091 Pr
0.669 0.669 0.577 Pr
0.999 0.999 0.759 Pr
0.167 0.167 0.834 Ge
0.833 0.833 0.166 Ge
0.165 0.165 0.334 P
0.500 0.500 0.000 P
0.835 0.835 0.666 P
0.500 0.500 0.500 Se
```

Results
Total DFT energy (no corrections) ... -6.136 eV per atom
Energy relative to the elements, uncorrected ... -1.3338 eV/atom
D(E_F) ... 5.0 states/eV/cell